No. 1
Crystalline NpHgSb at its relaxed geometry, computed with GGA-PBE.

abc: 7.2271 7.2271 7.2271
angles: 90.00 90.00 90.00
Closest atoms and distances in Å follow each position.
Element x y z (fractional)
Np1 0.0000 0.0000 0.0000  4 Sb 3.13, 4 Hg 3.13
Np2 0.0000 0.5000 0.5000  4 Sb 3.13, 4 Hg 3.13
Np3 0.5000 0.0000 0.5000  4 Sb 3.13, 4 Hg 3.13
Np4 0.5000 0.5000 0.0000  4 Sb 3.13, 4 Hg 3.13
Hg1 0.2500 0.2500 0.7500  4 Np 3.13
Hg2 0.2500 0.7500 0.2500  4 Np 3.13
Hg3 0.7500 0.2500 0.2500  4 Np 3.13
Hg4 0.7500 0.7500 0.7500  4 Np 3.13
Sb1 0.2500 0.2500 0.2500  4 Np 3.13
Sb2 0.2500 0.7500 0.7500  4 Np 3.13
Sb3 0.7500 0.2500 0.7500  4 Np 3.13
Sb4 0.7500 0.7500 0.2500  4 Np 3.13

Computed properties:
* offset from the most stable computed form: 0.082 eV per atom
* space-group type: F-43m
* N(E_F): 41.4 states/eV/cell

No. 2
Crystalline CsBaY2Nb at its relaxed geometry, computed with GGA-PBE.

abc: 5.5894 5.5894 6.6338
angles: 90.00 90.00 90.00
Closest atoms and distances in Å follow each position.
Element x y z (fractional)
Cs1 0.0000 0.0000 0.0000  2 Nb 3.32
Ba1 0.5000 0.5000 0.0000  4 Cs 3.95, 8 Y 4.34
Y1 0.0000 0.5000 0.5000  2 Nb 2.79
Y2 0.5000 0.0000 0.5000  2 Nb 2.79
Nb1 0.0000 0.0000 0.5000  4 Y 2.79

Computed properties:
* E_form: 0.774 eV per atom
* space-group type: P4/mmm
* N(E_F): 4.5 states/eV/cell

No. 3
Crystalline ZrTi2Al2 at its relaxed geometry, computed with GGA-PBE.

abc: 12.9540 12.9540 12.9540
angles: 162.91 162.91 24.26
Closest atoms and distances in Å follow each position.
Element x y z (fractional)
Zr1 0.1241 0.1241 0.0000  4 Al 2.99, 4 Ti 3.04
Zr2 0.8759 0.8759 0.0000  4 Al 2.99, 4 Ti 3.04
Ti1 0.2500 0.7500 0.5000  4 Ti 2.72, 4 Al 2.74
Ti2 0.4295 0.4295 0.0000  5 Al 2.59-2.63
Ti3 0.5705 0.5705 0.0000  5 Al 2.59-2.63
Ti4 0.7500 0.2500 0.5000  4 Ti 2.72, 4 Al 2.74
Al1 0.0000 0.5000 0.5000  4 Ti 2.63, 4 Al 2.72
Al2 0.3272 0.3272 0.0000  5 Ti 2.59-2.74
Al3 0.5000 0.0000 0.5000  4 Ti 2.63, 4 Al 2.72
Al4 0.6728 0.6728 0.0000  5 Ti 2.59-2.74

Computed properties:
* E_form: -0.108 eV per atom
* offset from the most stable computed form: 0.213 eV per atom
* space-group type: I4/mmm
* N(E_F): 9.4 states/eV/cell

No. 4
Crystalline NpInGeO6 at its relaxed geometry, computed with GGA-PBE.

abc: 5.3422 5.3422 8.9110
angles: 90.00 90.00 120.00
Closest atoms and distances in Å follow each position.
Element x y z (fractional)
Np1 0.3333 0.6667 0.2500  6 O 2.15
Np2 0.6667 0.3333 0.7500  6 O 2.15
In1 0.3333 0.6667 0.7500  6 O 2.21
In2 0.6667 0.3333 0.2500  6 O 2.21
Ge1 0.0000 0.0000 0.0000  6 O 1.97
Ge2 0.0000 0.0000 0.5000  6 O 1.97
O1 0.0101 0.3144 0.1201  1 Ge 1.97, 1 Np 2.15
O2 0.0101 0.6958 0.3799  1 Ge 1.97, 1 Np 2.15
O3 0.3042 0.3144 0.3799  1 Ge 1.97, 1 Np 2.15
O4 0.3042 0.9899 0.1201  1 Ge 1.97, 1 Np 2.15
O5 0.3144 0.0101 0.6201  1 Ge 1.97, 1 Np 2.15
O6 0.3144 0.3042 0.8799  1 Ge 1.97, 1 Np 2.15
O7 0.6856 0.6958 0.1201  1 Ge 1.97, 1 Np 2.15
O8 0.6856 0.9899 0.3799  1 Ge 1.97, 1 Np 2.15
O9 0.6958 0.0101 0.8799  1 Ge 1.97, 1 Np 2.15
O10 0.6958 0.6856 0.6201  1 Ge 1.97, 1 Np 2.15
O11 0.9899 0.3042 0.6201  1 Ge 1.97, 1 Np 2.15
O12 0.9899 0.6856 0.8799  1 Ge 1.97, 1 Np 2.15

Computed properties:
* electronic total energy: -133.8 eV for the cell shown
* space-group type: P-31c
* N(E_F): 12.0 states/eV/cell

No. 5
Crystalline K2RbOsO4 at its relaxed geometry, computed with GGA-PBE.

abc: 6.4477 6.4477 7.5245
angles: 90.00 90.00 90.00
Closest atoms and distances in Å follow each position.
Element x y z (fractional)
K1 0.0000 0.0000 0.0000  4 O 2.70
K2 0.0000 0.5000 0.2500  8 O 2.98-2.99
K3 0.5000 0.0000 0.7500  8 O 2.98-2.99
K4 0.5000 0.5000 0.5000  4 O 2.70
Rb1 0.0000 0.5000 0.7500  8 O 2.98-2.99
Rb2 0.5000 0.0000 0.2500  8 O 2.98-2.99
Os1 0.0000 0.0000 0.5000  4 O 1.86
Os2 0.5000 0.5000 0.0000  4 O 1.86
O1 0.2032 0.7956 0.4990  1 Os 1.86
O2 0.2044 0.2032 0.5010  1 Os 1.86
O3 0.2956 0.2968 0.0010  1 Os 1.86
O4 0.2968 0.7044 0.9990  1 Os 1.86
O5 0.7032 0.2956 0.9990  1 Os 1.86
O6 0.7044 0.7032 0.0010  1 Os 1.86
O7 0.7956 0.7968 0.5010  1 Os 1.86
O8 0.7968 0.2044 0.4990  1 Os 1.86

Computed properties:
* electronic total energy: -90.2 eV for the cell shown
* space-group type: I-4
* N(E_F): 13.6 states/eV/cell

No. 6
Crystalline ScCoBr2 at its relaxed geometry, computed with GGA-PBE.

abc: 3.4007 3.8808 14.0617
angles: 90.00 90.00 90.00
Closest atoms and distances in Å follow each position.
Element x y z (fractional)
Sc1 0.0000 0.0000 0.0000  2 Co 2.47, 2 Br 2.75
Sc2 0.5000 0.5000 0.5000  2 Co 2.47, 2 Br 2.75
Co1 0.0000 0.5000 0.3723  2 Sc 2.47, 4 Br 2.58
Co2 0.5000 0.0000 0.8723  2 Sc 2.47, 4 Br 2.58
Br1 0.0000 0.0000 0.6035  4 Sc 2.96
Br2 0.0000 0.5000 0.8617  4 Co 2.58, 2 Sc 2.75
Br3 0.5000 0.0000 0.3617  4 Co 2.58, 2 Sc 2.75
Br4 0.5000 0.5000 0.1035  4 Sc 2.96

Computed properties:
* offset from the most stable computed form: 0.150 eV per atom
* space-group type: Imm2
* N(E_F): 3.3 states/eV/cell

No. 7
Crystalline Ba2LiLaCu at its relaxed geometry, computed with GGA-PBE.

abc: 6.4317 6.4317 5.5303
angles: 90.00 90.00 90.00
Closest atoms and distances in Å follow each position.
Element x y z (fractional)
Ba1 0.0000 0.5000 0.0000  2 Cu 3.22
Ba2 0.5000 0.0000 0.0000  2 Cu 3.22
Li1 0.0000 0.0000 0.5000  8 Ba 4.24, 4 La 4.55
La1 0.5000 0.5000 0.5000  2 Cu 2.77
Cu1 0.5000 0.5000 0.0000  2 La 2.77

Computed properties:
* E_form: 0.186 eV per atom
* space-group type: P4/mmm
* N(E_F): 6.3 states/eV/cell

No. 8
Crystalline Hf2InHgRh at its relaxed geometry, computed with GGA-PBE.

abc: 4.9278 4.9278 5.1718
angles: 90.00 90.00 90.00
Closest atoms and distances in Å follow each position.
Element x y z (fractional)
Hf1 0.0000 0.5000 0.0000  2 Rh 2.46
Hf2 0.5000 0.0000 0.0000  2 Rh 2.46
In1 0.0000 0.0000 0.5000  4 Hg 3.48, 8 Hf 3.57
Hg1 0.5000 0.5000 0.5000  2 Rh 2.59
Rh1 0.5000 0.5000 0.0000  4 Hf 2.46, 2 Hg 2.59

Computed properties:
* E_form: 0.223 eV per atom
* space-group type: P4/mmm
* N(E_F): 4.2 states/eV/cell